Compound: RbPuSe3
Source: Alexandria
Functional: PBE
Structure: relaxed

The value obtained for the energy relative to the elements, uncorrected is -1070 meV per atom. For the polymorph energy (0 for the lowest one), the calculation gives 5.2 kJ per mole of atoms.

The space group is C2/m (No. 12) and the conventional cell measures 12.7340, 7.3507 and 8.5282 Å, with angles of 90.00, 119.82 and 90.00 degrees. The inequivalent atoms are Rb at (0.1199, 0.0000, 0.3605), Pu at (0.1664, 0.5000, 0.9993), Se at (0.0796, 0.5000, 0.2401) and Se at (0.1700, 0.2505, 0.7599).